Entry 1:
8
Lattice="-3.723 -1.132 -3.895 1.283 -1.615 -4.647 -2.048 -4.616 -0.592" Properties=species:S:1:pos:R:3 comment="GGA+U Na2LiMoO4, relaxed" spacegroup="I-42m (121)" rho_g_cm3=3.51 final_energy_ev_per_fu=-44.525 pbc="T T T"
Na -0.383 -3.115 -2.620
Na -2.244 -3.682 -4.567
Mo 0.000 0.000 0.000
O -0.595 -1.522 -4.629
O -4.872 -4.153 -4.061
O -2.948 -2.219 -2.571
O 0.204 -0.602 -1.770
Li -1.861 -0.566 -1.948

***

Entry 2:
8
Lattice="-3.419 -0.699 3.803 3.647 -2.658 2.506 1.055 4.817 -1.527" Properties=species:S:1:pos:R:3 comment="GGA+U NaLi2MoO4, relaxed" spacegroup="I-42m (121)" rho_g_cm3=3.30 final_energy_ev_per_fu=-46.641 pbc="T T T"
O -1.865 -1.575 4.375
O 0.473 1.807 -0.150
O 0.748 0.559 3.228
O 2.154 -2.689 3.638
Li -1.125 1.219 2.715
Li 2.408 0.240 2.067
Na 0.114 -1.679 3.155
Mo 0.000 0.000 0.000

***

Entry 3:
14
Lattice="5.708 0.085 0.000 -2.215 5.262 0.000 0.000 0.000 6.579" Properties=species:S:1:pos:R:3 comment="GGA+U NaLiMoO4, relaxed" spacegroup="Cmcm (63)" rho_g_cm3=3.17 final_energy_ev_per_fu=-43.209 pbc="T T T"
O 0.893 1.088 1.645
O 0.638 1.255 4.934
O -0.292 4.006 0.155
O 2.601 4.259 4.934
O 2.856 4.092 1.645
O 3.786 1.341 6.424
O -0.292 4.006 3.134
O 3.786 1.341 3.445
Mo -1.135 4.556 1.645
Mo 4.628 0.791 4.934
Na 1.747 2.674 3.290
Na 1.747 2.674 0.000
Li -0.958 4.440 4.934
Li 4.451 0.907 1.645

***

Entry 4:
88
Lattice="8.252 0.000 0.000 4.126 7.977 0.005 4.126 2.403 17.185" Properties=species:S:1:pos:R:3 comment="GGA+U NaLi2Mo2P3O14, relaxed" spacegroup="C2/c (15)" rho_g_cm3=3.20 final_energy_ev_per_fu=-151.293 pbc="T T T"
O 1.588 0.741 0.295
O 5.791 2.551 2.030
O 6.587 7.741 10.625
O 11.156 7.624 5.073
O 8.098 4.955 14.622
O 7.569 2.585 15.380
O 10.794 4.953 0.871
O 7.119 7.643 15.563
O 12.961 7.245 8.519
O 7.270 6.365 0.520
O 10.963 6.306 13.153
O 4.743 5.557 10.699
O 8.405 7.742 6.032
O 5.710 2.166 9.461
O 5.540 4.074 4.037
O 6.744 5.885 5.729
O 1.414 1.116 4.558
O 11.794 4.458 17.109
O 7.270 6.803 8.080
O 8.935 5.372 6.790
O 6.744 7.283 2.872
O 9.233 4.015 16.670
O 7.635 0.366 2.104
O 5.017 1.580 4.267
O 5.347 2.756 12.117
O 4.709 5.922 0.081
O 3.472 2.964 2.952
O 7.569 5.008 10.400
O 8.935 7.795 1.810
O 10.789 5.931 8.890
O 5.259 2.453 6.967
O 11.156 5.543 3.527
O 8.868 10.014 15.086
O 15.089 9.264 12.632
O 7.598 2.226 5.643
O 8.905 8.154 11.548
O 9.759 3.098 14.318
O 13.031 7.416 14.238
O 11.761 4.824 6.491
O 11.244 7.928 10.223
O 10.794 8.215 7.729
O 8.405 5.426 2.568
O 9.917 2.640 6.565
O 14.915 9.640 16.895
O 11.486 8.800 12.923
O 9.759 4.495 11.461
O 5.347 4.837 13.663
O 5.714 4.450 8.300
O 10.713 7.830 15.160
O 3.542 3.135 8.671
O 8.098 2.638 11.158
O 9.233 3.578 9.110
O 9.385 2.738 1.628
O 7.361 6.770 12.862
O 9.143 3.610 4.328
O 5.710 5.427 16.319
P 11.435 7.348 8.800
P 8.694 3.944 10.509
P 7.810 6.436 6.681
P 7.410 8.039 11.928
P 9.194 2.158 0.205
P 7.810 6.731 1.920
P 9.094 2.341 5.262
P 7.309 8.222 16.985
P 8.694 3.649 15.270
P 5.068 3.032 8.390
P 11.536 7.531 13.857
P 4.968 2.849 3.333
Na 11.619 3.796 12.890
Na 6.189 3.989 0.003
Na 2.063 1.201 8.592
Na 4.884 6.584 4.300
Li 1.376 0.839 2.507
Li 7.404 8.462 4.410
Li 7.404 4.705 4.190
Li 9.099 1.918 12.780
Li 9.099 5.675 13.000
Li 5.502 4.351 6.088
Li 15.127 9.541 14.683
Li 11.001 6.029 11.102
Mo 10.476 4.374 7.562
Mo 6.028 6.007 9.628
Mo 10.426 9.558 11.329
Mo 6.300 6.013 14.456
Mo 10.154 9.564 16.157
Mo 6.350 0.817 1.033
Mo 6.078 0.822 5.861
Mo 10.204 4.368 2.734